Here is a geometry-optimized Li5Cu2Ni structure from Alexandria via LeMat-Bulk. Energies are from GGA-PBE.

Spin magnetization: 0.00 μB per formula unit
ΔH_f (0 K): 0.01 eV per atom
Space-group type: Pbam (55)
D(E_F): 8.76 states/eV per cell

Cell: 7.6035 10.6904 2.6453 Å, 90.00 90.00 90.00°
With the nearest neighbours (Å) after each atom.
Atoms (fractional coordinates):
Li1 0.0000 0.0000 0.0000  8 Li 2.65-2.77, 4 Cu 2.75
Li2 0.0013 0.2490 0.0000  7 Li 2.58-2.83, 4 Cu 2.61-2.80, 1 Ni 2.68
Li3 0.2269 0.3806 0.5000  2 Ni 2.52, 2 Cu 2.55-2.82, 6 Li 2.58-2.77
Li4 0.2731 0.8806 0.5000  2 Ni 2.52, 2 Cu 2.55-2.82, 6 Li 2.58-2.77
Li5 0.4987 0.7490 0.0000  7 Li 2.58-2.83, 4 Cu 2.61-2.80, 1 Ni 2.68
Li6 0.5000 0.5000 0.0000  8 Li 2.65-2.77, 4 Cu 2.75
Li7 0.5013 0.2510 0.0000  7 Li 2.58-2.83, 4 Cu 2.61-2.80, 1 Ni 2.68
Li8 0.7269 0.1194 0.5000  2 Ni 2.52, 2 Cu 2.55-2.82, 6 Li 2.58-2.77
Li9 0.7731 0.6194 0.5000  2 Ni 2.52, 2 Cu 2.55-2.82, 6 Li 2.58-2.77
Li10 0.9987 0.7510 0.0000  7 Li 2.58-2.83, 4 Cu 2.61-2.80, 1 Ni 2.68
Cu1 0.2300 0.6190 0.5000  2 Ni 2.54, 8 Li 2.55-2.82, 2 Cu 2.65
Cu2 0.2700 0.1190 0.5000  2 Ni 2.54, 8 Li 2.55-2.82, 2 Cu 2.65
Cu3 0.7300 0.8810 0.5000  2 Ni 2.54, 8 Li 2.55-2.82, 2 Cu 2.65
Cu4 0.7700 0.3810 0.5000  2 Ni 2.54, 8 Li 2.55-2.82, 2 Cu 2.65
Ni1 0.0000 0.5000 0.0000  6 Li 2.52-2.68, 4 Cu 2.54, 2 Ni 2.65
Ni2 0.5000 0.0000 0.0000  6 Li 2.52-2.68, 4 Cu 2.54, 2 Ni 2.65